The following is a GGA-PBE calculation of a relaxed LiCeAg2 crystal, from the Alexandria database.

a b c (Å): 3.197 3.197 7.735
angles (deg): 90.00 90.00 90.00
Each line ends with the local moment (μB).
Fractional positions:
Ag 0.000 0.000 0.802  0.00
Ag 0.000 0.000 0.198  0.00
Ce 0.500 0.500 0.500  0.51
Li 0.500 0.500 0.000  0.00

Values from the calculation:
formation energy from the elements	-0.137	eV/atom
V	19.76	Å³ per atom
SG	No. 123
ΔE to the lowest computed polymorph	0	meV per atom

***

The following is a GGA-PBE calculation of a relaxed LiCeAg2 crystal, from the Alexandria database.

a b c (Å): 4.649 4.649 5.546
angles (deg): 65.22 65.22 60.00
Each line ends with the local moment (μB).
Fractional positions:
Ag 0.285 0.285 0.144  0.01
Ag 0.715 0.715 0.856  0.01
Ce 0.500 0.500 0.500  0.97
Li 0.000 0.000 0.000  0.01

Values from the calculation:
formation energy from the elements	-0.100	eV/atom
V	22.71	Å³ per atom
SG	No. 166
ΔE to the lowest computed polymorph	38	meV per atom

***

The following is a GGA-PBE calculation of a relaxed LiCeAg2 crystal, from the Alexandria database.

a b c (Å): 3.185 5.294 5.294
angles (deg): 90.00 90.00 90.00
Each line ends with the local moment (μB).
Fractional positions:
Ce 0.500 0.500 0.500  1.01
Ag 0.000 0.000 0.500  0.01
Ag 0.000 0.500 0.000  0.01
Li 0.500 0.000 0.000  0.00

Values from the calculation:
formation energy from the elements	-0.040	eV/atom
V	22.31	Å³ per atom
SG	No. 123
ΔE to the lowest computed polymorph	97	meV per atom

***

| no. | magnetic moment (Bohr magnetons per cell) |
| --- | --- |
| 1 | 0.6 |
| 2 | 1.2 |
| 3 | 1.3 |